Entry from Alexandria: crystalline CdSiAsBr2 at its relaxed geometry (GGA-PBE).

Geometry as POSCAR:
```
CdSiAsBr2
1.0
-2.4876 -0.0074 4.3827
0.0517 -5.0392 0.0208
4.4887 0.0566 2.5479
As Si Br Cd
1 1 2 1
direct
0.0000 0.0000 0.5000 As
0.0000 0.0000 0.0000 Si
0.0000 0.5000 0.0000 Br
0.5000 0.0000 0.0000 Br
0.5000 0.5000 0.5000 Cd
```

Output
Energy in eV/atom: -2.680
Spin magnetization in μB per atom: 0.00
Energy above the most stable polymorph in this dataset in meV/atom: 0
Volume in Å³ per cell: 131.1
Uncorrected formation energy in eV per formula unit: 0.932

Entry from Alexandria: crystalline CdSiAsBr2 at its relaxed geometry (GGA-PBE).

Geometry as POSCAR:
```
CdSiAsBr2
1.0
5.2820 0.0000 0.0000
0.0000 5.2820 0.0000
0.0000 0.0000 5.4367
As Si Br Cd
1 1 2 1
direct
0.0000 0.0000 0.5000 As
0.5000 0.5000 0.5000 Si
0.0000 0.5000 0.0000 Br
0.5000 0.0000 0.0000 Br
0.0000 0.0000 0.0000 Cd
```

Output
Energy in eV/atom: -2.239
Spin magnetization in μB per atom: 0.00
Energy above the most stable polymorph in this dataset in meV/atom: 442
Volume in Å³ per cell: 151.7
Uncorrected formation energy in eV per formula unit: 3.140